Record 1
Entry from the Alexandria database: a geometry-optimized SmCoC structure (PBE).

a = 5.901 Å, b = 3.474 Å, c = 10.583 Å
α = 90.00°, β = 122.29°, γ = 90.00°
Space group P2_1/c (No. 14)
Unique sites:
Sm (0.168, 0.246, 0.426) [4 per cell]
Co (0.393, 0.743, 0.274) [4 per cell]
C (0.247, 0.243, 0.203) [4 per cell]

Output
- offset from the most stable computed form (kJ/mol of atoms) = 3.7
- ΔE_f (eV/atom) = -0.19

Record 2
Entry from the Alexandria database: a geometry-optimized TbTmPd structure (PBE).

a = 3.531 Å, b = 3.531 Å, c = 12.122 Å
α = 90.00°, β = 90.00°, γ = 90.00°
Space group I4mm (No. 107)
Unique sites:
Tb (0.000, 0.000, 0.000) [2 per cell]
Tm (0.000, 0.000, 0.277) [2 per cell]
Pd (0.000, 0.000, 0.646) [2 per cell]

Output
- offset from the most stable computed form (kJ/mol of atoms) = 0.0
- ΔE_f (eV/atom) = -0.57

Record 3
Entry from the Alexandria database: a geometry-optimized Al2Cu2Si structure (PBE).

a = 7.504 Å, b = 7.504 Å, c = 2.636 Å
α = 90.00°, β = 90.00°, γ = 90.00°
Space group P4/mbm (No. 127)
Unique sites:
Al (0.136, 0.364, 0.000) [4 per cell]
Cu (0.161, 0.661, 0.500) [4 per cell]
Si (0.000, 0.000, 0.000) [2 per cell]

Output
- E_form (uncorrected) (eV/atom) = 0.09
- offset from the most stable computed form (kJ/mol of atoms) = 9.9

Record 4
Entry from the Alexandria database: a geometry-optimized TaAl2Ag structure (PBE).

a = 10.195 Å, b = 2.883 Å, c = 4.867 Å
α = 90.00°, β = 109.10°, γ = 90.00°
Space group Cm (No. 8)
Unique sites:
Ta (0.000, 0.000, 0.000) [2 per cell]
Al (0.246, 0.500, 0.107) [2 per cell]
Al (0.487, 0.000, 0.485) [2 per cell]
Ag (0.238, 0.000, 0.604) [2 per cell]

Output
- offset from the most stable computed form (kJ/mol of atoms) = 6.3
- ΔE_f (eV/atom) = -0.07

Record 5
Entry from the Alexandria database: a geometry-optimized Tb5NdEr3 structure (PBE).

a = 18.395 Å, b = 6.328 Å, c = 11.263 Å
α = 90.00°, β = 112.94°, γ = 90.00°
Space group C2/c (No. 15)
Unique sites:
Tb (0.000, 0.105, 0.250) [4 per cell]
Tb (0.169, 0.209, 0.708) [8 per cell]
Tb (0.170, 0.321, 0.369) [8 per cell]
Nd (0.000, 0.365, 0.750) [4 per cell]
Er (0.000, 0.500, 0.000) [4 per cell]
Er (0.162, 0.196, 0.014) [8 per cell]

Output
- offset from the most stable computed form (kJ/mol of atoms) = 0.0
- ΔE_f (eV/atom) = 0.30

Record 6
Entry from the Alexandria database: a geometry-optimized Be2Co structure (PBE).

a = 3.536 Å, b = 3.536 Å, c = 4.990 Å
α = 90.00°, β = 90.00°, γ = 90.00°
Space group I4/mmm (No. 139)
Unique sites:
Be (0.000, 0.500, 0.250) [4 per cell]
Co (0.000, 0.000, 0.000) [2 per cell]

Output
- ΔE_f (eV/atom) = 0.35

Record 7
Entry from the Alexandria database: a geometry-optimized Li2SiS structure (PBE).

a = 3.9467 Å, b = 3.9467 Å, c = 10.0354 Å
α = 90.00°, β = 90.00°, γ = 120.00°
Space group P3m1 (No. 156)
Unique sites:
Li (0.0000, 0.0000, 0.0000) [1 per cell]
Li (0.0000, 0.0000, 0.4965) [1 per cell]
Li (0.3333, 0.6667, 0.8495) [1 per cell]
Li (0.6667, 0.3333, 0.6813) [1 per cell]
Si (0.3333, 0.6667, 0.3412) [1 per cell]
Si (0.6667, 0.3333, 0.2561) [1 per cell]
S (0.0000, 0.0000, 0.7398) [1 per cell]
S (0.6667, 0.3333, 0.0348) [1 per cell]

Output
- E_form (uncorrected) (eV/atom) = -0.79
- offset from the most stable computed form (kJ/mol of atoms) = 3.7

Record 8
Entry from the Alexandria database: a geometry-optimized TbCePrPb structure (PBE).

a = 7.826 Å, b = 7.826 Å, c = 7.826 Å
α = 90.00°, β = 90.00°, γ = 90.00°
Space group F-43m (No. 216)
Unique sites:
Tb (0.000, 0.000, 0.000) [4 per cell]
Ce (0.250, 0.250, 0.750) [4 per cell]
Pr (0.000, 0.000, 0.500) [4 per cell]
Pb (0.250, 0.250, 0.250) [4 per cell]

Output
- ΔE_f (eV/atom) = -0.08

Record 9
Entry from the Alexandria database: a geometry-optimized Zr2SnPt9 structure (PBE).

a = 4.052 Å, b = 4.052 Å, c = 12.187 Å
α = 90.00°, β = 90.00°, γ = 90.00°
Space group P4/mmm (No. 123)
Unique sites:
Zr (0.000, 0.000, 0.166) [2 per cell]
Sn (0.000, 0.000, 0.500) [1 per cell]
Pt (0.000, 0.500, 0.000) [2 per cell]
Pt (0.000, 0.500, 0.329) [4 per cell]
Pt (0.500, 0.500, 0.166) [2 per cell]
Pt (0.500, 0.500, 0.500) [1 per cell]

Output
- ΔE_f (eV/atom) = -0.83

Record 10
Entry from the Alexandria database: a geometry-optimized CaNd4Ho6 structure (PBE).

a = 7.782 Å, b = 7.782 Å, c = 13.196 Å
α = 90.00°, β = 90.00°, γ = 90.00°
Space group I-42m (No. 121)
Unique sites:
Ca (0.000, 0.000, 0.000) [2 per cell]
Nd (0.246, 0.246, 0.190) [8 per cell]
Ho (0.000, 0.500, 0.000) [4 per cell]
Ho (0.158, 0.158, 0.422) [8 per cell]

Output
- ΔE_f (eV/atom) = 0.37

Record 11
Entry from the Alexandria database: a geometry-optimized GaGe structure (PBE).

a = 5.399 Å, b = 5.399 Å, c = 5.399 Å
α = 90.00°, β = 90.00°, γ = 90.00°
Space group Fm-3m (No. 225)
Unique sites:
Ga (0.000, 0.000, 0.000) [4 per cell]
Ge (0.000, 0.000, 0.500) [4 per cell]

Output
- offset from the most stable computed form (kJ/mol of atoms) = 0.7
- ΔE_f (eV/atom) = 0.16

Record 12
Entry from the Alexandria database: a geometry-optimized SrMgH2 structure (PBE).

a = 6.393 Å, b = 6.393 Å, c = 6.393 Å
α = 90.00°, β = 90.00°, γ = 90.00°
Space group Fm-3m (No. 225)
Unique sites:
Sr (0.000, 0.000, 0.000) [4 per cell]
Mg (0.000, 0.000, 0.500) [4 per cell]
H (0.250, 0.250, 0.250) [8 per cell]

Output
- offset from the most stable computed form (kJ/mol of atoms) = 3.6